# 1
DFT (PBE) results for an optimized crystal structure of La5TbPm8.

Computed properties:
The density of states at the Fermi level comes out at 44.00 states/eV per cell. As for the energy relative to the elements: 21.4 kJ per mole of atoms. The calculation puts the electronic total energy at -4.58 eV/atom.

abc: 9.825 9.825 10.334
angles: 90.00 90.00 90.00
Space group I-4 (No. 82)
Symmetry-distinct sites (fractional):
La (0.000, 0.000, 0.000) x2
La (0.108, 0.785, 0.423) x8
Tb (0.000, 0.500, 0.750) x2
Pm (0.072, 0.673, 0.099) x8
Pm (0.078, 0.819, 0.757) x8

# 2
DFT (PBE) results for an optimized crystal structure of BaGaSe2N.

Computed properties:
The density of states at the Fermi level comes out at 5.73 states/eV per cell. The calculation puts the electronic total energy at -3.35 eV/atom. For the energy above the most stable polymorph in this dataset, the calculation gives 1039.5 meV per atom. As for the uncorrected formation energy: 701 meV/atom.

abc: 6.217 6.217 5.296
angles: 90.00 90.00 90.00
Space group P4/mmm (No. 123)
Symmetry-distinct sites (fractional):
Ba (0.000, 0.000, 0.000) x1
Ga (0.500, 0.500, 0.500) x1
Se (0.000, 0.500, 0.000) x2
N (0.000, 0.000, 0.500) x1

# 3
DFT (PBE) results for an optimized crystal structure of Y2Re3Tc.

Computed properties:
The density of states at the Fermi level comes out at 9.78 states/eV per cell. As for the energy relative to the elements: -17.1 kJ per mole of atoms. The calculation puts the electronic total energy at -10.28 eV/atom.

abc: 9.292 5.372 5.480
angles: 90.00 124.55 90.00
Space group C2/m (No. 12)
Symmetry-distinct sites (fractional):
Y (0.125, 0.000, 0.375) x4
Re (0.000, 0.500, 0.000) x2
Re (0.250, 0.250, 0.000) x4
Tc (0.000, 0.500, 0.500) x2

Look up the density of states at the Fermi level of the third one. 9.78 states/eV per cell